1.
# Nd2HfTe2N2 | Alexandria via LeMat-Bulk | GGA-PBE | optimized geometry
# Raw formation energy ... -1.49 eV/atom
data_Nd2HfTe2N2
_space_group_name_H-M_alt 'I 4/m m m'
_space_group_IT_number 139
_space_group_name_Hall '-I 4 2'
_cell_length_a 4.277
_cell_length_b 4.277
_cell_length_c 17.017
_cell_angle_alpha 90.00
_cell_angle_beta 90.00
_cell_angle_gamma 90.00
loop_
_atom_site_label
_atom_site_type_symbol
_atom_site_fract_x
_atom_site_fract_y
_atom_site_fract_z
Nd1 Nd 0.000 0.000 0.099
Hf1 Hf 0.000 0.000 0.500
Te1 Te 0.000 0.000 0.323
N1 N 0.000 0.500 0.000


2.
# Nd2HfThN4 | Alexandria via LeMat-Bulk | GGA-PBE | optimized geometry
# Raw formation energy ... -1.51 eV/atom
# DOS at the Fermi energy ... 2.74 states/eV per cell
data_Nd2HfThN4
_space_group_name_H-M_alt 'P 1 2/m 1'
_space_group_IT_number 10
_cell_length_a 6.117
_cell_length_b 3.514
_cell_length_c 6.159
_cell_angle_alpha 90.00
_cell_angle_beta 108.81
_cell_angle_gamma 90.00
loop_
_space_group_symop_operation_xyz
'x,y,z'
'-x,-y,-z'
'-x,y,-z'
'x,-y,z'
loop_
_atom_site_label
_atom_site_type_symbol
_atom_site_fract_x
_atom_site_fract_y
_atom_site_fract_z
Nd1 Nd 0.000 0.000 0.000
Nd2 Nd 0.500 0.500 0.000
Hf1 Hf 0.000 0.500 0.500
Th1 Th 0.500 0.000 0.500
N1 N 0.221 0.000 0.714
N2 N 0.235 0.500 0.279


3.
# Nd4HfTh3N8 | Alexandria via LeMat-Bulk | GGA-PBE | optimized geometry
# Raw formation energy ... -1.51 eV/atom
# DOS at the Fermi energy ... 15.87 states/eV per cell
data_Nd4HfTh3N8
_space_group_name_H-M_alt 'R -3 m'
_space_group_IT_number 166
_space_group_name_Hall '-R 3 2"'
_cell_length_a 7.1937
_cell_length_b 7.1937
_cell_length_c 17.6745
_cell_angle_alpha 90.00
_cell_angle_beta 90.00
_cell_angle_gamma 120.00
loop_
_atom_site_label
_atom_site_type_symbol
_atom_site_fract_x
_atom_site_fract_y
_atom_site_fract_z
Nd1 Nd 0.0000 0.0000 0.0000
Nd2 Nd 0.0000 0.5000 0.0000
Hf1 Hf 0.0000 0.0000 0.5000
Th1 Th 0.0000 0.5000 0.5000
N1 N 0.0000 0.0000 0.2455
N2 N 0.0212 0.5106 0.2404


4.
# NdHfTiN3 | Alexandria via LeMat-Bulk | GGA-PBE | optimized geometry
# Raw formation energy ... -1.36 eV/atom
# DOS at the Fermi energy ... 6.74 states/eV per cell
data_NdHfTiN3
_space_group_name_H-M_alt 'P 1 21/m 1'
_space_group_IT_number 11
_cell_length_a 6.900
_cell_length_b 3.235
_cell_length_c 8.276
_cell_angle_alpha 90.00
_cell_angle_beta 94.42
_cell_angle_gamma 90.00
loop_
_space_group_symop_operation_xyz
'x,y,z'
'-x,-y,-z'
'-x,y+1/2,-z'
'x,-y+1/2,z'
loop_
_atom_site_label
_atom_site_type_symbol
_atom_site_fract_x
_atom_site_fract_y
_atom_site_fract_z
Nd1 Nd 0.143 0.250 0.186
Hf1 Hf 0.366 0.750 0.873
Ti1 Ti 0.145 0.250 0.578
N1 N 0.151 0.750 0.438
N2 N 0.153 0.250 0.841
N3 N 0.410 0.750 0.123


5.
# NdHf2TiN4 | Alexandria via LeMat-Bulk | GGA-PBE | optimized geometry
# Raw formation energy ... -1.47 eV/atom
# DOS at the Fermi energy ... 15.26 states/eV per cell
data_NdHf2TiN4
_space_group_name_H-M_alt 'C m c m'
_space_group_IT_number 63
_space_group_name_Hall '-C 2c 2'
_cell_length_a 3.252
_cell_length_b 11.414
_cell_length_c 11.380
_cell_angle_alpha 90.00
_cell_angle_beta 90.00
_cell_angle_gamma 90.00
loop_
_atom_site_label
_atom_site_type_symbol
_atom_site_fract_x
_atom_site_fract_y
_atom_site_fract_z
Nd1 Nd 0.000 0.103 0.250
Hf1 Hf 0.000 0.370 0.038
Ti1 Ti 0.000 0.160 0.750
N1 N 0.000 0.000 0.000
N2 N 0.000 0.260 0.613
N3 N 0.000 0.441 0.250


6.
# NdHf2VN4 | Alexandria via LeMat-Bulk | GGA-PBE | optimized geometry
# Raw formation energy ... -1.42 eV/atom
# DOS at the Fermi energy ... 12.71 states/eV per cell
data_NdHf2VN4
_space_group_name_H-M_alt 'C m c m'
_space_group_IT_number 63
_space_group_name_Hall '-C 2c 2'
_cell_length_a 3.266
_cell_length_b 11.274
_cell_length_c 11.128
_cell_angle_alpha 90.00
_cell_angle_beta 90.00
_cell_angle_gamma 90.00
loop_
_atom_site_label
_atom_site_type_symbol
_atom_site_fract_x
_atom_site_fract_y
_atom_site_fract_z
Nd1 Nd 0.000 0.096 0.250
Hf1 Hf 0.000 0.369 0.044
V1 V 0.000 0.165 0.750
N1 N 0.000 0.000 0.000
N2 N 0.000 0.263 0.613
N3 N 0.000 0.432 0.250


7.
# NdHfVN3 | Alexandria via LeMat-Bulk | GGA-PBE | optimized geometry
# Raw formation energy ... -1.25 eV/atom
# DOS at the Fermi energy ... 4.21 states/eV per cell
data_NdHfVN3
_space_group_name_H-M_alt 'P 1 21/m 1'
_space_group_IT_number 11
_cell_length_a 6.977
_cell_length_b 3.360
_cell_length_c 7.861
_cell_angle_alpha 90.00
_cell_angle_beta 103.93
_cell_angle_gamma 90.00
loop_
_space_group_symop_operation_xyz
'x,y,z'
'-x,-y,-z'
'-x,y+1/2,-z'
'x,-y+1/2,z'
loop_
_atom_site_label
_atom_site_type_symbol
_atom_site_fract_x
_atom_site_fract_y
_atom_site_fract_z
Nd1 Nd 0.184 0.250 0.174
Hf1 Hf 0.348 0.750 0.855
V1 V 0.079 0.250 0.610
N1 N 0.119 0.250 0.859
N2 N 0.185 0.750 0.557
N3 N 0.439 0.750 0.140


8.
# Nd2YHfN4 | Alexandria via LeMat-Bulk | GGA-PBE | optimized geometry
# Raw formation energy ... -1.56 eV/atom
# DOS at the Fermi energy ... 1.17 states/eV per cell
data_Nd2YHfN4
_space_group_name_H-M_alt 'P 1 2/m 1'
_space_group_IT_number 10
_cell_length_a 6.007
_cell_length_b 3.458
_cell_length_c 6.077
_cell_angle_alpha 90.00
_cell_angle_beta 109.00
_cell_angle_gamma 90.00
loop_
_space_group_symop_operation_xyz
'x,y,z'
'-x,-y,-z'
'-x,y,-z'
'x,-y,z'
loop_
_atom_site_label
_atom_site_type_symbol
_atom_site_fract_x
_atom_site_fract_y
_atom_site_fract_z
Nd1 Nd 0.000 0.000 0.000
Nd2 Nd 0.500 0.500 0.000
Y1 Y 0.000 0.500 0.500
Hf1 Hf 0.500 0.000 0.500
N1 N 0.258 0.000 0.726
N2 N 0.273 0.500 0.281


9.
# NdHfZrN3 | Alexandria via LeMat-Bulk | GGA-PBE | optimized geometry
# Raw formation energy ... -1.55 eV/atom
# DOS at the Fermi energy ... 3.35 states/eV per cell
data_NdHfZrN3
_space_group_name_H-M_alt 'P 1 21/m 1'
_space_group_IT_number 11
_cell_length_a 5.726
_cell_length_b 3.367
_cell_length_c 8.748
_cell_angle_alpha 90.00
_cell_angle_beta 102.68
_cell_angle_gamma 90.00
loop_
_space_group_symop_operation_xyz
'x,y,z'
'-x,-y,-z'
'-x,y+1/2,-z'
'x,-y+1/2,z'
loop_
_atom_site_label
_atom_site_type_symbol
_atom_site_fract_x
_atom_site_fract_y
_atom_site_fract_z
Nd1 Nd 0.153 0.250 0.192
Hf1 Hf 0.266 0.750 0.541
Zr1 Zr 0.362 0.250 0.855
N1 N 0.056 0.250 0.648
N2 N 0.260 0.750 0.995
N3 N 0.467 0.750 0.357


10.
# Nd2HfZrN4 | Alexandria via LeMat-Bulk | GGA-PBE | optimized geometry
# Raw formation energy ... -1.58 eV/atom
# DOS at the Fermi energy ... 2.96 states/eV per cell
data_Nd2HfZrN4
_space_group_name_H-M_alt 'P 1 2/m 1'
_space_group_IT_number 10
_cell_length_a 5.841
_cell_length_b 3.379
_cell_length_c 6.064
_cell_angle_alpha 90.00
_cell_angle_beta 108.78
_cell_angle_gamma 90.00
loop_
_space_group_symop_operation_xyz
'x,y,z'
'-x,-y,-z'
'-x,y,-z'
'x,-y,z'
loop_
_atom_site_label
_atom_site_type_symbol
_atom_site_fract_x
_atom_site_fract_y
_atom_site_fract_z
Nd1 Nd 0.000 0.000 0.000
Nd2 Nd 0.500 0.500 0.000
Hf1 Hf 0.000 0.500 0.500
Zr1 Zr 0.500 0.000 0.500
N1 N 0.233 0.000 0.710
N2 N 0.258 0.500 0.288


11.
# NdHf3Zr2N6 | Alexandria via LeMat-Bulk | GGA-PBE | optimized geometry
# Raw formation energy ... -1.66 eV/atom
# DOS at the Fermi energy ... 6.01 states/eV per cell
data_NdHf3Zr2N6
_space_group_name_H-M_alt 'C 1 2/m 1'
_space_group_IT_number 12
_cell_length_a 14.437
_cell_length_b 3.260
_cell_length_c 6.681
_cell_angle_alpha 90.00
_cell_angle_beta 104.36
_cell_angle_gamma 90.00
loop_
_space_group_symop_operation_xyz
'x,y,z'
'-x,-y,-z'
'-x,y,-z'
'x,-y,z'
'x+1/2,y+1/2,z'
'-x+1/2,-y+1/2,-z'
'-x+1/2,y+1/2,-z'
'x+1/2,-y+1/2,z'
loop_
_atom_site_label
_atom_site_type_symbol
_atom_site_fract_x
_atom_site_fract_y
_atom_site_fract_z
Nd1 Nd 0.000 0.000 0.000
Hf1 Hf 0.000 0.000 0.500
Hf2 Hf 0.168 0.500 0.830
Zr1 Zr 0.170 0.500 0.340
N1 N 0.003 0.500 0.723
N2 N 0.162 0.000 0.594
N3 N 0.176 0.000 0.077


12.
# NdHf2ZrN4 | Alexandria via LeMat-Bulk | GGA-PBE | optimized geometry
# Raw formation energy ... -1.62 eV/atom
# DOS at the Fermi energy ... 8.42 states/eV per cell
data_NdHf2ZrN4
_space_group_name_H-M_alt 'I m m a'
_space_group_IT_number 74
_space_group_name_Hall '-I 2b 2'
_cell_length_a 6.605
_cell_length_b 6.692
_cell_length_c 9.411
_cell_angle_alpha 90.00
_cell_angle_beta 90.00
_cell_angle_gamma 90.00
loop_
_atom_site_label
_atom_site_type_symbol
_atom_site_fract_x
_atom_site_fract_y
_atom_site_fract_z
Nd1 Nd 0.250 0.250 0.250
Hf1 Hf 0.000 0.000 0.000
Hf2 Hf 0.250 0.250 0.750
Zr1 Zr 0.000 0.000 0.500
N1 N 0.000 0.027 0.755
N2 N 0.240 0.250 0.987


Please write out number 3 again, unchanged.
# Nd4HfTh3N8 | Alexandria via LeMat-Bulk | GGA-PBE | optimized geometry
# Raw formation energy ... -1.51 eV/atom
# DOS at the Fermi energy ... 15.87 states/eV per cell
data_Nd4HfTh3N8
_space_group_name_H-M_alt 'R -3 m'
_space_group_IT_number 166
_space_group_name_Hall '-R 3 2"'
_cell_length_a 7.1937
_cell_length_b 7.1937
_cell_length_c 17.6745
_cell_angle_alpha 90.00
_cell_angle_beta 90.00
_cell_angle_gamma 120.00
loop_
_atom_site_label
_atom_site_type_symbol
_atom_site_fract_x
_atom_site_fract_y
_atom_site_fract_z
Nd1 Nd 0.0000 0.0000 0.0000
Nd2 Nd 0.0000 0.5000 0.0000
Hf1 Hf 0.0000 0.0000 0.5000
Th1 Th 0.0000 0.5000 0.5000
N1 N 0.0000 0.0000 0.2455
N2 N 0.0212 0.5106 0.2404